Record 1
First-principles (GGA-PBE) data for a relaxed Pm3Ag2Hg crystal, as listed in Alexandria.

Output
Its space-group type is No. 164. The uncorrected energy is -3.7163 eV per atom.

a = 5.3114 Å, b = 5.3114 Å, c = 13.0348 Å
α = 90.00°, β = 90.00°, γ = 120.00°
Element x y z (fractional)
Pm (0.3333, 0.6667, 0.4172)
Pm (0.6667, 0.3333, 0.0805)
Pm (0.0000, 0.0000, 0.7530)
Pm (0.0000, 0.0000, 0.2470)
Pm (0.3333, 0.6667, 0.9195)
Pm (0.6667, 0.3333, 0.5828)
Ag (0.0000, 0.0000, 0.5000)
Ag (0.3333, 0.6667, 0.1674)
Ag (0.6667, 0.3333, 0.8326)
Ag (0.0000, 0.0000, 0.0000)
Hg (0.3333, 0.6667, 0.6692)
Hg (0.6667, 0.3333, 0.3308)

***

Record 2
First-principles (GGA-PBE) data for a relaxed Pm8Ag2Hg crystal, as listed in Alexandria.

Output
Its space-group type is No. 12. As for the relative energy among the computed polymorphs: 0 meV per atom.

a = 5.4448 Å, b = 8.5999 Å, c = 8.6361 Å
α = 119.07°, β = 108.37°, γ = 90.00°
Element x y z (fractional)
Hg (0.5000, 0.0000, 0.0000)
Ag (0.2251, 0.6165, 0.4502)
Ag (0.7749, 0.3835, 0.5498)
Pm (0.5962, 0.4540, 0.1923)
Pm (0.3178, 0.0420, 0.6355)
Pm (0.1398, 0.1951, 0.2796)
Pm (0.0703, 0.7214, 0.1407)
Pm (0.8602, 0.8049, 0.7204)
Pm (0.6822, 0.9580, 0.3645)
Pm (0.4038, 0.5460, 0.8077)
Pm (0.9297, 0.2786, 0.8593)

***

Record 3
First-principles (GGA-PBE) data for a relaxed Pm4Ag2Hg3 crystal, as listed in Alexandria.

Output
Its space-group type is No. 12. The uncorrected energy is -3.1674 eV per atom.

a = 5.2182 Å, b = 5.2149 Å, c = 9.9668 Å
α = 90.09°, β = 90.00°, γ = 59.98°
Element x y z (fractional)
Pm (0.6668, 0.6663, 0.8868)
Pm (0.9997, 0.0006, 0.3350)
Pm (0.0003, 0.9994, 0.6650)
Pm (0.3332, 0.3337, 0.1132)
Ag (0.3337, 0.3325, 0.7967)
Ag (0.6663, 0.6675, 0.2033)
Hg (0.3332, 0.3335, 0.4628)
Hg (0.0000, 0.0000, 0.0000)
Hg (0.6668, 0.6665, 0.5372)

***

Record 4
First-principles (GGA-PBE) data for a relaxed Pm6Ag5Hg crystal, as listed in Alexandria.

Output
Its space-group type is No. 12. As for the relative energy among the computed polymorphs: 197 meV per atom.

a = 8.2245 Å, b = 7.4747 Å, c = 6.8111 Å
α = 56.72°, β = 83.46°, γ = 78.01°
Element x y z (fractional)
Pm (0.7197, 0.1016, 0.3498)
Pm (0.2803, 0.5487, 0.3498)
Pm (0.1995, 0.3092, 0.0000)
Pm (0.8005, 0.6908, 0.0000)
Pm (0.7197, 0.4513, 0.6502)
Pm (0.2803, 0.8984, 0.6502)
Ag (0.5000, 0.1213, 0.7573)
Ag (0.0000, 0.2821, 0.4358)
Ag (0.5000, 0.5000, 0.0000)
Ag (0.0000, 0.7179, 0.5642)
Ag (0.5000, 0.8787, 0.2427)
Hg (0.0000, 0.0000, 0.0000)

***

Across the entries above, D(E_F) takes the values 0.9153 1.1163 0.7858 1.2579 states/eV/atom, respectively.